CuAsPdSe2: relaxed, PBE. Values from VASP.

Quantum ESPRESSO input file:
```
&SYSTEM
  ibrav = 0, nat = 5, ntyp = 4
/
ATOMIC_SPECIES
Cu 63.55 Cu.upf
As 74.92 As.upf
Pd 106.42 Pd.upf
Se 78.96 Se.upf
CELL_PARAMETERS angstrom
4.8073 0.0000 0.0000
0.0000 4.8073 0.0000
0.0000 0.0000 4.5737
ATOMIC_POSITIONS crystal
Cu 0.0000 0.0000 0.0000
As 0.0000 0.0000 0.5000
Pd 0.5000 0.5000 0.5000
Se 0.0000 0.5000 0.0000
Se 0.5000 0.0000 0.0000
```

## Properties
- ΔE to the lowest computed polymorph: 0.00 eV per formula unit
- ρ: 6.33 g/cm3
- Magnetic moment: 0.00 μB per cell

Ba2Ge3Au5: relaxed, PBE. Values from VASP.

Quantum ESPRESSO input file:
```
&SYSTEM
  ibrav = 0, nat = 20, ntyp = 3
/
ATOMIC_SPECIES
Ba 137.33 Ba.upf
Ge 72.64 Ge.upf
Au 196.97 Au.upf
CELL_PARAMETERS angstrom
-5.2721 6.6833 3.3875
5.2721 -6.6833 3.3875
5.2721 6.6833 -3.3875
ATOMIC_POSITIONS crystal
Ba 0.1288 0.2478 0.3766
Ba 0.3712 0.7478 0.1189
Ba 0.6288 0.2522 0.8811
Ba 0.8712 0.7522 0.6234
Ge 0.1208 0.6261 0.7468
Ge 0.2500 0.2500 0.0000
Ge 0.3792 0.1261 0.5053
Ge 0.6208 0.8739 0.4947
Ge 0.7500 0.7500 0.0000
Ge 0.8792 0.3739 0.2532
Au 0.0123 0.7500 0.2623
Au 0.1144 0.8741 0.9886
Au 0.2500 0.7500 0.5000
Au 0.3856 0.3741 0.7597
Au 0.4877 0.7500 0.7377
Au 0.5123 0.2500 0.2623
Au 0.6144 0.6259 0.2403
Au 0.7500 0.2500 0.5000
Au 0.8856 0.1259 0.0114
Au 0.9877 0.2500 0.7377
```

## Properties
- ΔE to the lowest computed polymorph: 0.00 eV per formula unit
- ρ: 10.28 g/cm3
- DFT formation energy: -480.0 kJ/mol of formula units
- Magnetic moment: 0.00 μB per cell

Li3CdHg6: relaxed, PBE. Values from VASP.

Quantum ESPRESSO input file:
```
&SYSTEM
  ibrav = 0, nat = 20, ntyp = 3
/
ATOMIC_SPECIES
Li 6.94 Li.upf
Cd 112.41 Cd.upf
Hg 200.59 Hg.upf
CELL_PARAMETERS angstrom
5.5920 3.2286 4.1532
-5.5920 3.2286 4.1532
0.0000 -6.4571 4.1532
ATOMIC_POSITIONS crystal
Li 0.2337 0.3685 0.7478
Li 0.2522 0.7663 0.6315
Li 0.3685 0.7478 0.2337
Li 0.6315 0.2522 0.7663
Li 0.7478 0.2337 0.3685
Li 0.7663 0.6315 0.2522
Cd 0.0000 0.0000 0.0000
Cd 0.5000 0.5000 0.5000
Hg 0.0476 0.8792 0.3537
Hg 0.1208 0.6463 0.9524
Hg 0.1263 0.4631 0.3618
Hg 0.3537 0.0476 0.8792
Hg 0.3618 0.1263 0.4631
Hg 0.4631 0.3618 0.1263
Hg 0.5369 0.6382 0.8737
Hg 0.6382 0.8737 0.5369
Hg 0.6463 0.9524 0.1208
Hg 0.8737 0.5369 0.6382
Hg 0.8792 0.3537 0.0476
Hg 0.9524 0.1208 0.6463
```

## Properties
- ΔE to the lowest computed polymorph: 0.50 eV per formula unit
- ρ: 9.87 g/cm3
- DFT formation energy: -169.9 kJ/mol of formula units
- Magnetic moment: 0.00 μB per cell

AsRu2N: relaxed, PBE. Values from VASP.

Quantum ESPRESSO input file:
```
&SYSTEM
  ibrav = 0, nat = 4, ntyp = 3
/
ATOMIC_SPECIES
As 74.92 As.upf
Ru 101.07 Ru.upf
N 14.01 N.upf
CELL_PARAMETERS angstrom
0.0000 2.9138 2.9138
2.9138 0.0000 2.9138
2.9138 2.9138 0.0000
ATOMIC_POSITIONS crystal
As 0.0000 0.0000 0.0000
Ru 0.2500 0.2500 0.2500
Ru 0.7500 0.7500 0.7500
N 0.5000 0.5000 0.5000
```

## Properties
- ΔE to the lowest computed polymorph: 2.35 eV per formula unit
- ρ: 9.77 g/cm3
- Magnetic moment: 0.00 μB per cell

Ag3HRu: relaxed, PBE. Values from VASP.

Quantum ESPRESSO input file:
```
&SYSTEM
  ibrav = 0, nat = 5, ntyp = 3
/
ATOMIC_SPECIES
Ag 107.87 Ag.upf
H 1.01 H.upf
Ru 101.07 Ru.upf
CELL_PARAMETERS angstrom
4.1454 0.0000 0.0000
0.0000 4.1454 0.0000
0.0000 0.0000 4.1454
ATOMIC_POSITIONS crystal
Ag 0.0000 0.0000 0.5000
Ag 0.0000 0.5000 0.0000
Ag 0.5000 0.0000 0.0000
H 0.0000 0.0000 0.0000
Ru 0.5000 0.5000 0.5000
```

## Properties
- ΔE to the lowest computed polymorph: 0.00 eV per formula unit
- ρ: 9.92 g/cm3
- Magnetic moment: 1.57 μB per cell

CePrNd2: relaxed, PBE. Values from VASP.

Quantum ESPRESSO input file:
```
&SYSTEM
  ibrav = 0, nat = 4, ntyp = 3
/
ATOMIC_SPECIES
Ce 140.12 Ce.upf
Pr 140.91 Pr.upf
Nd 144.24 Nd.upf
CELL_PARAMETERS angstrom
1.8226 1.0523 11.9170
-1.8226 1.0523 11.9170
0.0000 -2.1046 11.9170
ATOMIC_POSITIONS crystal
Ce 0.0000 0.0000 0.0000
Pr 0.1667 0.1667 0.1667
Nd 0.5847 0.5847 0.5847
Nd 0.7480 0.7480 0.7480
```

## Properties
- ΔE to the lowest computed polymorph: 0.04 eV per formula unit
- ρ: 6.90 g/cm3
- DFT formation energy: 27.9 kJ/mol of formula units
- Magnetic moment: 0.98 μB per cell

SrCeGa2: relaxed, PBE. Values from VASP.

Quantum ESPRESSO input file:
```
&SYSTEM
  ibrav = 0, nat = 4, ntyp = 3
/
ATOMIC_SPECIES
Sr 87.62 Sr.upf
Ce 140.12 Ce.upf
Ga 69.72 Ga.upf
CELL_PARAMETERS angstrom
1.9018 1.0980 9.3220
-1.9018 1.0980 9.3220
0.0000 -2.1960 9.3220
ATOMIC_POSITIONS crystal
Sr 0.0000 0.0000 0.0000
Ce 0.5000 0.5000 0.5000
Ga 0.2463 0.2463 0.2463
Ga 0.7537 0.7537 0.7537
```

## Properties
- ρ: 5.22 g/cm3
- DFT formation energy: -58.9 kJ/mol of formula units
- Magnetic moment: 0.75 μB per cell

NdBe3Pd10: relaxed, PBE. Values from VASP.

Quantum ESPRESSO input file:
```
&SYSTEM
  ibrav = 0, nat = 28, ntyp = 3
/
ATOMIC_SPECIES
Nd 144.24 Nd.upf
Be 9.01 Be.upf
Pd 106.42 Pd.upf
CELL_PARAMETERS angstrom
0.0000 5.9679 5.9679
5.9679 0.0000 5.9679
5.9679 5.9679 0.0000
ATOMIC_POSITIONS crystal
Nd 0.2500 0.2500 0.2500
Nd 0.7500 0.7500 0.7500
Be 0.2293 0.2293 0.7707
Be 0.2293 0.7707 0.2293
Be 0.2293 0.7707 0.7707
Be 0.7707 0.2293 0.2293
Be 0.7707 0.2293 0.7707
Be 0.7707 0.7707 0.2293
Pd 0.1158 0.1158 0.1158
Pd 0.1158 0.1158 0.6527
Pd 0.1158 0.6527 0.1158
Pd 0.1634 0.5000 0.5000
Pd 0.1634 0.5000 0.8366
Pd 0.1634 0.8366 0.5000
Pd 0.3473 0.8842 0.8842
Pd 0.5000 0.1634 0.5000
Pd 0.5000 0.1634 0.8366
Pd 0.5000 0.5000 0.1634
Pd 0.5000 0.5000 0.8366
Pd 0.5000 0.8366 0.1634
Pd 0.5000 0.8366 0.5000
Pd 0.6527 0.1158 0.1158
Pd 0.8366 0.1634 0.5000
Pd 0.8366 0.5000 0.1634
Pd 0.8366 0.5000 0.5000
Pd 0.8842 0.3473 0.8842
Pd 0.8842 0.8842 0.3473
Pd 0.8842 0.8842 0.8842
```

## Properties
- ρ: 9.65 g/cm3
- DFT formation energy: -653.3 kJ/mol of formula units
- Magnetic moment: 0.00 μB per cell

KCaSb2I: relaxed, PBE. Values from VASP.

Quantum ESPRESSO input file:
```
&SYSTEM
  ibrav = 0, nat = 5, ntyp = 4
/
ATOMIC_SPECIES
K 39.10 K.upf
Ca 40.08 Ca.upf
Sb 121.76 Sb.upf
I 126.90 I.upf
CELL_PARAMETERS angstrom
5.8763 0.0000 0.0000
0.0000 5.8763 0.0000
0.0000 0.0000 6.1344
ATOMIC_POSITIONS crystal
K 0.0000 0.0000 0.0000
Ca 0.5000 0.5000 0.5000
Sb 0.0000 0.5000 0.0000
Sb 0.5000 0.0000 0.0000
I 0.0000 0.0000 0.5000
```

## Properties
- ΔE to the lowest computed polymorph: 3.04 eV per formula unit
- ρ: 3.52 g/cm3
- Magnetic moment: 0.28 μB per cell

Li3Pr2Cu12Ir: relaxed, PBE. Values from VASP.

Quantum ESPRESSO input file:
```
&SYSTEM
  ibrav = 0, nat = 18, ntyp = 4
/
ATOMIC_SPECIES
Li 6.94 Li.upf
Pr 140.91 Pr.upf
Cu 63.55 Cu.upf
Ir 192.22 Ir.upf
CELL_PARAMETERS angstrom
2.6400 1.5242 11.6838
-2.6400 1.5242 11.6838
0.0000 -3.0484 11.6838
ATOMIC_POSITIONS crystal
Li 0.0000 0.5000 0.5000
Li 0.5000 0.0000 0.5000
Li 0.5000 0.5000 0.0000
Pr 0.1450 0.1450 0.1450
Pr 0.8550 0.8550 0.8550
Cu 0.1016 0.1016 0.6351
Cu 0.1016 0.6351 0.1016
Cu 0.1137 0.6021 0.6021
Cu 0.3649 0.8984 0.8984
Cu 0.3979 0.3979 0.8863
Cu 0.3979 0.8863 0.3979
Cu 0.6021 0.1137 0.6021
Cu 0.6021 0.6021 0.1137
Cu 0.6351 0.1016 0.1016
Cu 0.8863 0.3979 0.3979
Cu 0.8984 0.3649 0.8984
Cu 0.8984 0.8984 0.3649
Ir 0.5000 0.5000 0.5000
```

## Properties
- ρ: 7.40 g/cm3
- DFT formation energy: 141.9 kJ/mol of formula units
- Magnetic moment: 0.00 μB per cell

K2Rb2Na7: relaxed, PBE. Values from VASP.

Quantum ESPRESSO input file:
```
&SYSTEM
  ibrav = 0, nat = 11, ntyp = 3
/
ATOMIC_SPECIES
K 39.10 K.upf
Rb 85.47 Rb.upf
Na 22.99 Na.upf
CELL_PARAMETERS angstrom
6.1808 -6.5743 0.0000
6.1808 6.5743 0.0000
-2.3735 0.0000 7.0941
ATOMIC_POSITIONS crystal
K 0.2178 0.7822 0.0000
K 0.7822 0.2178 0.0000
Rb 0.2859 0.2859 0.9331
Rb 0.7141 0.7141 0.0669
Na 0.1183 0.5769 0.3913
Na 0.1229 0.1229 0.3893
Na 0.4231 0.8817 0.6087
Na 0.5000 0.5000 0.5000
Na 0.5769 0.1183 0.3913
Na 0.8771 0.8771 0.6107
Na 0.8817 0.4231 0.6087
```

## Properties
- ρ: 1.18 g/cm3
- DFT formation energy: 44.3 kJ/mol of formula units
- Magnetic moment: 0.00 μB per cell

U4CuRh12: relaxed, PBE. Values from VASP.

Quantum ESPRESSO input file:
```
&SYSTEM
  ibrav = 0, nat = 17, ntyp = 3
/
ATOMIC_SPECIES
U 238.03 U.upf
Cu 63.55 Cu.upf
Rh 102.91 Rh.upf
CELL_PARAMETERS angstrom
-4.1173 4.1173 4.1173
4.1173 -4.1173 4.1173
4.1173 4.1173 -4.1173
ATOMIC_POSITIONS crystal
U 0.0000 0.0000 0.5000
U 0.0000 0.5000 0.0000
U 0.5000 0.0000 0.0000
U 0.5000 0.5000 0.5000
Cu 0.0000 0.0000 0.0000
Rh 0.0000 0.2855 0.2855
Rh 0.0000 0.7145 0.7145
Rh 0.2500 0.5000 0.7500
Rh 0.2500 0.7500 0.5000
Rh 0.2855 0.0000 0.2855
Rh 0.2855 0.2855 0.0000
Rh 0.5000 0.2500 0.7500
Rh 0.5000 0.7500 0.2500
Rh 0.7145 0.0000 0.7145
Rh 0.7145 0.7145 0.0000
Rh 0.7500 0.2500 0.5000
Rh 0.7500 0.5000 0.2500
```

## Properties
- ρ: 13.39 g/cm3
- DFT formation energy: -769.9 kJ/mol of formula units
- Magnetic moment: 0.87 μB per cell

Nd12Co5Bi: relaxed, PBE. Values from VASP.

Quantum ESPRESSO input file:
```
&SYSTEM
  ibrav = 0, nat = 18, ntyp = 3
/
ATOMIC_SPECIES
Nd 144.24 Nd.upf
Co 58.93 Co.upf
Bi 208.98 Bi.upf
CELL_PARAMETERS angstrom
-4.9084 4.9466 5.0977
4.9084 -4.9466 5.0977
4.9084 4.9466 -5.0977
ATOMIC_POSITIONS crystal
Nd 0.0051 0.1963 0.8088
Nd 0.1853 0.2983 0.4836
Nd 0.1853 0.7017 0.8871
Nd 0.3123 0.0026 0.6903
Nd 0.3123 0.6220 0.3097
Nd 0.3875 0.1963 0.1912
Nd 0.6125 0.8037 0.8088
Nd 0.6877 0.3780 0.6903
Nd 0.6877 0.9974 0.3097
Nd 0.8147 0.2983 0.1129
Nd 0.8147 0.7017 0.5164
Nd 0.9949 0.8037 0.1912
Co 0.0000 0.0000 0.0000
Co 0.1103 0.6103 0.5000
Co 0.3821 0.0000 0.3821
Co 0.6179 0.0000 0.6179
Co 0.8897 0.3897 0.5000
Bi 0.5000 0.5000 0.0000
```

## Properties
- ρ: 7.49 g/cm3
- DFT formation energy: -302.3 kJ/mol of formula units
- Magnetic moment: 0.00 μB per cell

TbIrS2: relaxed, PBE. Values from VASP.

Quantum ESPRESSO input file:
```
&SYSTEM
  ibrav = 0, nat = 4, ntyp = 3
/
ATOMIC_SPECIES
Tb 158.93 Tb.upf
Ir 192.22 Ir.upf
S 32.06 S.upf
CELL_PARAMETERS angstrom
1.8359 1.0600 7.7415
-1.8359 1.0600 7.7415
0.0000 -2.1199 7.7415
ATOMIC_POSITIONS crystal
Tb 0.0000 0.0000 0.0000
Ir 0.5000 0.5000 0.5000
S 0.1180 0.1180 0.1180
S 0.8820 0.8820 0.8820
```

## Properties
- ρ: 7.63 g/cm3
- Electronic total energy: -23.7 eV per cell
- Magnetic moment: 0.00 μB per cell

VFeP2Cl: relaxed, PBE. Values from VASP.

Quantum ESPRESSO input file:
```
&SYSTEM
  ibrav = 0, nat = 5, ntyp = 4
/
ATOMIC_SPECIES
V 50.94 V.upf
Fe 55.84 Fe.upf
P 30.97 P.upf
Cl 35.45 Cl.upf
CELL_PARAMETERS angstrom
4.5337 0.0000 0.0000
0.0000 4.5337 0.0000
0.0000 0.0000 4.7242
ATOMIC_POSITIONS crystal
V 0.0000 0.0000 0.0000
Fe 0.5000 0.5000 0.5000
P 0.0000 0.5000 0.0000
P 0.5000 0.0000 0.0000
Cl 0.0000 0.0000 0.5000
```

## Properties
- ΔE to the lowest computed polymorph: 0.00 eV per formula unit
- ρ: 3.49 g/cm3
- Magnetic moment: 3.84 μB per cell